Record 1
Below is a geometry-optimized Sr2BiPd6 structure, with properties calculated at the PBE level. Values from VASP.

Computed properties:
Calculated formation energy ... -0.487 eV/atom
Calculated volume ... 21.4 Å³ per atom
Theoretical density ... 8.835 g cm⁻³
Space-group type ... C2/m

```
&SYSTEM
  ibrav = 0, nat = 9, ntyp = 3
/
ATOMIC_SPECIES
Sr 87.62 Sr.upf
Bi 208.98 Bi.upf
Pd 106.42 Pd.upf
CELL_PARAMETERS angstrom
5.944 0.000 0.000
-2.972 5.037 1.182
0.000 0.143 6.455
ATOMIC_POSITIONS angstrom
Sr 2.972 1.414 1.473
Sr 0.000 3.765 6.164
Bi 0.000 0.000 0.000
Pd 4.360 1.541 4.696
Pd 2.972 3.935 5.225
Pd 1.584 1.541 4.696
Pd -1.388 3.638 2.941
Pd 0.000 1.244 2.412
Pd 1.388 3.638 2.941
```

Record 2
Below is a geometry-optimized YAs2Se structure, with properties calculated at the PBE level. Values from VASP.

Computed properties:
Calculated volume ... 30.9 Å³ per atom
Theoretical density ... 4.271 g cm⁻³
E_tot ... -4.957 eV per atom
Space-group type ... I-42d

```
&SYSTEM
  ibrav = 0, nat = 8, ntyp = 3
/
ATOMIC_SPECIES
Y 88.91 Y.upf
As 74.92 As.upf
Se 78.96 Se.upf
CELL_PARAMETERS angstrom
-3.559 -3.258 -3.222
4.314 -1.006 -3.747
2.332 -8.070 0.360
ATOMIC_POSITIONS angstrom
Y 0.000 0.000 0.000
Y -0.425 -6.730 -3.174
As -0.991 -4.077 -2.291
As 2.723 -3.156 -2.756
As 2.167 -7.683 -2.461
As 2.274 -9.752 -5.711
Se 0.377 -2.132 -3.485
Se 3.511 -5.604 -3.436
```

Record 3
Below is a geometry-optimized VGaS2Cl structure, with properties calculated at the PBE level. Values from VASP.

Computed properties:
Energy relative to the lowest polymorph listed for this composition ... 3.24 eV/f.u.
Calculated volume ... 21.0 Å³ per atom
Theoretical density ... 3.491 g cm⁻³
Space-group type ... P4/mmm

```
&SYSTEM
  ibrav = 0, nat = 5, ntyp = 4
/
ATOMIC_SPECIES
S 32.06 S.upf
Cl 35.45 Cl.upf
Ga 69.72 Ga.upf
V 50.94 V.upf
CELL_PARAMETERS angstrom
-3.710 2.084 2.142
-2.171 0.466 -4.215
-1.990 -4.126 0.568
ATOMIC_POSITIONS angstrom
S -1.086 0.233 -2.107
S -1.855 1.042 1.071
Cl -0.995 -2.063 0.284
Ga 0.000 0.000 0.000
V -3.936 -0.788 -0.752
```

Record 4
Below is a geometry-optimized AlTeAsOs2 structure, with properties calculated at the PBE level. Values from VASP.

Computed properties:
Energy relative to the lowest polymorph listed for this composition ... 0.00 eV/f.u.
Calculated volume ... 20.4 Å³ per atom
Theoretical density ... 9.910 g cm⁻³
Space-group type ... P4/mmm

```
&SYSTEM
  ibrav = 0, nat = 5, ntyp = 4
/
ATOMIC_SPECIES
As 74.92 As.upf
Te 127.60 Te.upf
Os 190.23 Os.upf
Al 26.98 Al.upf
CELL_PARAMETERS angstrom
-4.340 1.608 -0.460
-1.209 -2.103 4.054
1.175 3.842 2.343
ATOMIC_POSITIONS angstrom
As 0.000 0.000 0.000
Te -2.187 1.674 2.969
Os 0.587 1.921 1.172
Os -2.170 0.804 -0.230
Al -0.604 -1.051 2.027
```

Record 5
Below is a geometry-optimized Sm4MgAu2 structure, with properties calculated at the PBE level. Values from VASP.

Computed properties:
Calculated formation energy ... -0.332 eV/atom
Calculated volume ... 29.7 Å³ per atom
Theoretical density ... 8.154 g cm⁻³
Space-group type ... R-3m

```
&SYSTEM
  ibrav = 0, nat = 7, ntyp = 3
/
ATOMIC_SPECIES
Sm 150.36 Sm.upf
Mg 24.30 Mg.upf
Au 196.97 Au.upf
CELL_PARAMETERS angstrom
5.158 0.000 0.000
2.579 4.467 0.000
2.579 1.489 9.014
ATOMIC_POSITIONS angstrom
Sm 7.736 4.467 7.879
Sm 7.736 4.467 3.198
Sm 2.579 1.489 1.136
Sm 2.579 1.489 5.816
Mg 5.158 2.978 4.507
Au 5.158 2.978 1.833
Au 5.158 2.978 7.181
```

Record 6
Below is a geometry-optimized KZnW structure, with properties calculated at the PBE level. Values from VASP.

Computed properties:
Energy relative to the lowest polymorph listed for this composition ... 0.00 eV/f.u.
Calculated formation energy ... 0.934 eV/atom
Calculated volume ... 20.3 Å³ per atom
Theoretical density ... 7.854 g cm⁻³
Space-group type ... Fmm2

```
&SYSTEM
  ibrav = 0, nat = 3, ntyp = 3
/
ATOMIC_SPECIES
K 39.10 K.upf
W 183.84 W.upf
Zn 65.41 Zn.upf
CELL_PARAMETERS angstrom
-3.336 -3.694 6.844
-2.248 -5.864 5.541
1.938 0.519 1.887
ATOMIC_POSITIONS angstrom
K -5.581 -9.554 12.381
W -0.428 -2.650 5.189
Zn -3.221 -6.393 9.088
```

Record 7
Below is a geometry-optimized RbCd2NiBi structure, with properties calculated at the PBE level. Values from VASP.

Computed properties:
Calculated formation energy ... -0.009 eV/atom
Calculated volume ... 28.4 Å³ per atom
Theoretical density ... 6.762 g cm⁻³
Space-group type ... P4/mmm

```
&SYSTEM
  ibrav = 0, nat = 5, ntyp = 4
/
ATOMIC_SPECIES
Ni 58.69 Ni.upf
Bi 208.98 Bi.upf
Rb 85.47 Rb.upf
Cd 112.41 Cd.upf
CELL_PARAMETERS angstrom
-1.572 1.758 4.665
-4.925 -1.310 -1.166
0.772 -4.715 2.036
ATOMIC_POSITIONS angstrom
Ni 0.000 0.000 0.000
Bi 0.386 -2.357 1.018
Rb -2.862 -2.134 2.768
Cd -2.462 -0.655 -0.583
Cd -0.786 0.879 2.333
```

Record 8
Below is a geometry-optimized Be3CdO structure, with properties calculated at the PBE level. Values from VASP.

Computed properties:
Energy relative to the lowest polymorph listed for this composition ... 8.15 eV/f.u.
Calculated volume ... 17.4 Å³ per atom
Theoretical density ... 2.971 g cm⁻³
Space-group type ... Pm-3m

```
&SYSTEM
  ibrav = 0, nat = 5, ntyp = 3
/
ATOMIC_SPECIES
Be 9.01 Be.upf
O 16.00 O.upf
Cd 112.41 Cd.upf
CELL_PARAMETERS angstrom
4.429 0.000 0.000
0.000 4.429 0.000
0.000 0.000 4.429
ATOMIC_POSITIONS angstrom
Be 0.000 2.214 0.000
Be 0.000 0.000 2.214
Be 2.214 0.000 0.000
O 2.214 2.214 2.214
Cd 0.000 0.000 0.000
```

Record 9
Below is a geometry-optimized HoPuH2 structure, with properties calculated at the PBE level. Values from VASP.

Computed properties:
Calculated volume ... 14.5 Å³ per atom
Theoretical density ... 11.747 g cm⁻³
E_tot ... -6.696 eV per atom
Space-group type ... R-3m

```
&SYSTEM
  ibrav = 0, nat = 4, ntyp = 3
/
ATOMIC_SPECIES
H 1.01 H.upf
Ho 164.93 Ho.upf
Pu 244.00 Pu.upf
CELL_PARAMETERS angstrom
3.427 0.000 0.000
1.713 2.968 0.000
1.713 0.989 5.712
ATOMIC_POSITIONS angstrom
H 5.140 2.968 4.154
H 1.713 0.989 1.558
Ho 3.427 1.979 2.856
Pu 0.000 0.000 0.000
```

Record 10
Below is a geometry-optimized Ac2HgO structure, with properties calculated at the PBE level. Values from VASP.

Computed properties:
Energy relative to the lowest polymorph listed for this composition ... 0.77 eV/f.u.
Calculated volume ... 27.8 Å³ per atom
Theoretical density ... 10.019 g cm⁻³
Space-group type ... R3m

```
&SYSTEM
  ibrav = 0, nat = 4, ntyp = 3
/
ATOMIC_SPECIES
Ac 227.00 Ac.upf
Hg 200.59 Hg.upf
O 16.00 O.upf
CELL_PARAMETERS angstrom
4.013 0.000 0.000
2.006 3.475 0.000
2.006 1.158 7.971
ATOMIC_POSITIONS angstrom
Ac 2.006 1.158 6.542
Ac 2.006 1.158 1.557
Hg 4.013 2.317 4.053
O 6.019 3.475 7.775
```

Record 11
Below is a geometry-optimized BaRhF5 structure, with properties calculated at the PBE level. Values from VASP.

Computed properties:
Calculated volume ... 18.9 Å³ per atom
Theoretical density ... 4.207 g cm⁻³
E_tot ... -5.181 eV per atom
Space-group type ... C2/c

```
&SYSTEM
  ibrav = 0, nat = 14, ntyp = 3
/
ATOMIC_SPECIES
Ba 137.33 Ba.upf
Rh 102.91 Rh.upf
F 19.00 F.upf
CELL_PARAMETERS angstrom
-3.950 -0.594 4.662
-2.245 -3.240 -4.706
7.043 -4.467 0.767
ATOMIC_POSITIONS angstrom
Ba -2.033 -3.002 1.337
Ba 2.882 -5.299 -0.614
Rh 0.000 0.000 0.000
Rh 1.547 -2.530 2.715
F -3.060 -1.636 3.218
F 0.929 -4.621 -2.294
F 2.097 -3.783 1.269
F 0.339 -1.534 1.354
F -4.443 -2.892 0.283
F 5.292 -5.409 0.440
F 0.510 -6.767 -0.631
F -1.249 -4.518 -0.546
F -0.081 -3.680 3.017
F 3.908 -6.665 -2.495
```

Record 12
Below is a geometry-optimized Mg6Bi2Pb structure, with properties calculated at the PBE level. Values from VASP.

Computed properties:
Calculated formation energy ... -0.063 eV/atom
Calculated volume ... 26.1 Å³ per atom
Theoretical density ... 5.444 g cm⁻³
Space-group type ... C2/c

```
&SYSTEM
  ibrav = 0, nat = 18, ntyp = 3
/
ATOMIC_SPECIES
Mg 24.30 Mg.upf
Bi 208.98 Bi.upf
Pb 207.20 Pb.upf
CELL_PARAMETERS angstrom
-7.356 -2.628 -1.298
3.695 -2.146 6.667
-3.525 6.416 4.504
ATOMIC_POSITIONS angstrom
Mg -2.892 -2.011 4.778
Mg -1.922 0.472 3.282
Mg -4.294 3.653 5.095
Mg -5.264 1.171 6.591
Mg 0.882 0.690 4.890
Mg -0.473 -2.001 6.934
Mg -8.069 0.952 4.983
Mg -6.713 3.643 2.939
Mg -0.010 1.146 8.491
Mg -0.842 4.057 9.469
Mg -7.176 0.496 1.382
Mg -6.344 -2.415 0.404
Bi -3.601 4.228 8.130
Bi -2.137 0.763 6.308
Bi -3.585 -2.585 1.743
Bi -5.049 0.880 3.564
Pb 2.140 -0.571 7.307
Pb -9.327 2.214 2.566
```

Record 13
Below is a geometry-optimized UTcB2 structure, with properties calculated at the PBE level. Values from VASP.

Computed properties:
Energy relative to the lowest polymorph listed for this composition ... 0.00 eV/f.u.
Calculated formation energy ... -0.467 eV/atom
Calculated volume ... 12.4 Å³ per atom
Theoretical density ... 11.981 g cm⁻³
Space-group type ... Pnma

```
&SYSTEM
  ibrav = 0, nat = 16, ntyp = 3
/
ATOMIC_SPECIES
U 238.03 U.upf
Tc 98.00 Tc.upf
B 10.81 B.upf
CELL_PARAMETERS angstrom
-1.831 2.760 -4.189
-4.665 -3.282 -0.123
-3.009 4.126 4.034
ATOMIC_POSITIONS angstrom
U -2.379 3.443 -1.798
U -4.211 1.115 -2.530
U -7.127 0.161 1.520
U -5.295 2.488 2.252
Tc -7.609 2.774 0.048
Tc -4.883 3.874 -0.419
Tc -1.896 0.830 -0.326
Tc -4.623 -0.271 0.141
B -6.248 2.657 -1.754
B -4.597 5.149 1.427
B -3.866 1.863 0.085
B -4.300 -2.463 -0.314
B -3.257 0.946 1.476
B -4.908 -1.546 -1.705
B -5.640 1.740 -0.363
B -5.206 6.066 0.036
```

Record 14
Below is a geometry-optimized TlInSnF6 structure, with properties calculated at the PBE level. Values from VASP.

Computed properties:
Calculated volume ... 19.5 Å³ per atom
Theoretical density ... 5.211 g cm⁻³
E_tot ... -4.545 eV per atom
Space-group type ... P1

```
&SYSTEM
  ibrav = 0, nat = 9, ntyp = 4
/
ATOMIC_SPECIES
Tl 204.38 Tl.upf
In 114.82 In.upf
Sn 118.71 Sn.upf
F 19.00 F.upf
CELL_PARAMETERS angstrom
-3.157 1.905 -4.933
1.691 -1.811 -5.637
-3.224 -4.262 0.409
ATOMIC_POSITIONS angstrom
Tl -1.421 -5.921 -5.243
In -2.143 -2.157 -3.314
Sn -2.427 -1.854 -6.862
F -0.736 -1.680 -1.826
F -2.003 -4.036 -7.470
F -3.370 -2.768 -4.967
F -4.493 -2.195 -7.823
F -0.791 -1.933 -4.909
F -2.910 -0.204 -3.458
```

Record 15
Below is a geometry-optimized AlHg2Pt structure, with properties calculated at the PBE level. Values from VASP.

Computed properties:
Calculated formation energy ... -0.013 eV/atom
Calculated volume ... 19.3 Å³ per atom
Theoretical density ... 13.409 g cm⁻³
Space-group type ... P2/m

```
&SYSTEM
  ibrav = 0, nat = 4, ntyp = 3
/
ATOMIC_SPECIES
Hg 200.59 Hg.upf
Pt 195.08 Pt.upf
Al 26.98 Al.upf
CELL_PARAMETERS angstrom
-0.525 3.547 -3.865
-2.510 1.102 1.352
2.944 2.983 2.337
ATOMIC_POSITIONS angstrom
Hg -2.500 1.100 1.349
Hg 0.207 2.044 1.848
Pt -0.154 2.795 -1.010
Al 0.063 4.837 0.835
```

Record 16
Below is a geometry-optimized Fe2NiIr structure, with properties calculated at the PBE level. Values from VASP.

Computed properties:
Calculated formation energy ... 0.013 eV/atom
Calculated volume ... 12.4 Å³ per atom
Theoretical density ... 12.106 g cm⁻³
Space-group type ... C2/m

```
&SYSTEM
  ibrav = 0, nat = 4, ntyp = 3
/
ATOMIC_SPECIES
Fe 55.84 Fe.upf
Ir 192.22 Ir.upf
Ni 58.69 Ni.upf
CELL_PARAMETERS angstrom
4.501 0.003 0.013
3.727 2.522 0.013
0.779 0.239 4.388
ATOMIC_POSITIONS angstrom
Fe 8.218 2.522 0.063
Fe 4.514 1.385 2.168
Ir 6.756 2.073 3.310
Ni 2.252 0.691 1.103
```

Record 17
Below is a geometry-optimized BaLi2Mg structure, with properties calculated at the PBE level. Values from VASP.

Computed properties:
Calculated formation energy ... 0.174 eV/atom
Calculated volume ... 37.3 Å³ per atom
Theoretical density ... 1.955 g cm⁻³
Space-group type ... I-42d

```
&SYSTEM
  ibrav = 0, nat = 8, ntyp = 3
/
ATOMIC_SPECIES
Mg 24.30 Mg.upf
Ba 137.33 Ba.upf
Li 6.94 Li.upf
CELL_PARAMETERS angstrom
-2.788 3.619 2.757
-3.240 -3.849 1.777
3.255 -1.579 10.528
ATOMIC_POSITIONS angstrom
Mg -3.014 -0.115 2.267
Mg -1.500 -2.772 7.286
Ba 0.000 0.000 0.000
Ba -1.274 0.963 7.776
Li -0.643 0.490 3.894
Li -2.250 -1.452 4.770
Li -0.622 -2.224 10.036
Li -2.031 -0.432 11.423
```

Record 18
Below is a geometry-optimized TbNdHo2P4 structure, with properties calculated at the PBE level. Values from VASP.

Computed properties:
Calculated formation energy ... -1.587 eV/atom
Calculated volume ... 23.4 Å³ per atom
Theoretical density ... 6.721 g cm⁻³
Space-group type ... P2/m

```
&SYSTEM
  ibrav = 0, nat = 8, ntyp = 4
/
ATOMIC_SPECIES
Tb 158.93 Tb.upf
Nd 144.24 Nd.upf
Ho 164.93 Ho.upf
P 30.97 P.upf
CELL_PARAMETERS angstrom
-1.255 2.474 2.945
0.014 -5.358 4.507
6.282 -0.459 3.062
ATOMIC_POSITIONS angstrom
Tb 3.148 -2.908 3.784
Nd 5.661 -1.901 6.787
Ho 6.282 -0.459 3.062
Ho 2.513 1.007 3.003
P 4.681 -4.403 5.693
P 0.360 1.060 4.820
P 0.965 -2.926 5.648
P 4.075 -0.417 4.866
```

Record 19
Below is a geometry-optimized In2Hg4Br structure, with properties calculated at the PBE level. Values from VASP.

Computed properties:
Calculated volume ... 30.9 Å³ per atom
Theoretical density ... 8.535 g cm⁻³
E_tot ... -1.330 eV per atom
Space-group type ... C2/m

```
&SYSTEM
  ibrav = 0, nat = 7, ntyp = 3
/
ATOMIC_SPECIES
Hg 200.59 Hg.upf
Br 79.90 Br.upf
In 114.82 In.upf
CELL_PARAMETERS angstrom
-2.434 -1.353 3.559
-0.590 -4.406 0.791
9.724 2.293 7.518
ATOMIC_POSITIONS angstrom
Hg 5.666 0.423 6.902
Hg 4.733 -2.034 5.330
Hg 1.034 -3.889 4.966
Hg 1.967 -1.432 6.537
Br 0.000 0.000 0.000
In 6.045 -1.517 9.294
In 0.654 -1.949 2.574
```

Record 20
Below is a geometry-optimized TlCr2Ag structure, with properties calculated at the PBE level. Values from VASP.

Computed properties:
Calculated formation energy ... 0.871 eV/atom
Calculated volume ... 16.0 Å³ per atom
Theoretical density ... 10.802 g cm⁻³
Space-group type ... I4/mmm

```
&SYSTEM
  ibrav = 0, nat = 4, ntyp = 3
/
ATOMIC_SPECIES
Ag 107.87 Ag.upf
Cr 52.00 Cr.upf
Tl 204.38 Tl.upf
CELL_PARAMETERS angstrom
-4.085 -1.388 2.703
0.955 -1.420 4.794
1.237 3.983 -2.919
ATOMIC_POSITIONS angstrom
Ag -2.206 0.595 1.766
Cr 0.000 0.000 0.000
Cr -1.565 -1.404 3.748
Tl 0.314 0.579 2.812
```